No. 1
Density functional theory data (GGA-PBE) for an optimized crystal structure of TmAl3Rh.

Crystal system: monoclinic
Relative energy among the computed polymorphs (meV per atom): 0
Energy of formation (meV/atom): -694

Cell: 6.764 4.091 6.898 Å, 90.00 105.57 90.00°
Atoms (fractional coordinates):
Tm 0.197 0.250 0.171
Tm 0.803 0.750 0.829
Al 0.080 0.250 0.650
Al 0.332 0.750 0.901
Al 0.345 0.750 0.517
Al 0.655 0.250 0.483
Al 0.668 0.250 0.099
Al 0.920 0.750 0.350
Rh 0.458 0.250 0.740
Rh 0.542 0.750 0.260

No. 2
Density functional theory data (GGA-PBE) for an optimized crystal structure of GeO2.

Raw formation energy (eV per atom): -1.571
Crystal system: orthorhombic

Cell: 4.370 5.410 4.840 Å, 90.00 90.00 90.00°
Atoms (fractional coordinates):
Ge 0.000 0.159 0.250
Ge 0.000 0.841 0.750
Ge 0.500 0.341 0.750
Ge 0.500 0.659 0.250
O 0.232 0.112 0.578
O 0.232 0.888 0.078
O 0.268 0.388 0.078
O 0.268 0.612 0.578
O 0.732 0.388 0.422
O 0.732 0.612 0.922
O 0.768 0.112 0.922
O 0.768 0.888 0.422

No. 3
Density functional theory data (GGA-PBE) for an optimized crystal structure of ReGe2BiRu.

Crystal system: tetragonal
Energy of formation (meV/atom): 765

Cell: 4.791 4.791 4.911 Å, 90.00 90.00 90.00°
Atoms (fractional coordinates):
Re 0.000 0.000 0.000
Ge 0.000 0.500 0.000
Ge 0.500 0.000 0.000
Bi 0.500 0.500 0.500
Ru 0.000 0.000 0.500